No. 1
A plane-wave DFT calculation with PBE was carried out for a geometry-optimized Nd3Sm2Sc2 structure.

Lattice parameters (Å, degrees): 11.137 5.011 7.984 90.00 98.26 90.00
Sites, in units of the cell vectors:
Nd (0.000, 0.000, 0.000)
Nd (0.214, 0.500, 0.144)
Nd (0.286, 0.000, 0.856)
Nd (0.500, 0.500, 0.000)
Nd (0.714, 0.000, 0.144)
Nd (0.786, 0.500, 0.856)
Sm (0.140, 0.000, 0.429)
Sm (0.360, 0.500, 0.571)
Sm (0.640, 0.500, 0.429)
Sm (0.860, 0.000, 0.571)
Sc (0.072, 0.500, 0.706)
Sc (0.428, 0.000, 0.294)
Sc (0.572, 0.000, 0.706)
Sc (0.928, 0.500, 0.294)

Values from the calculation:
Its space group is No. 12. The energy above the lowest structure with this stoichiometry is 0 meV per atom.



No. 2
A plane-wave DFT calculation with PBE was carried out for a geometry-optimized Nd6Sm2Sc structure.

Lattice parameters (Å, degrees): 10.076 10.076 3.710 94.48 94.48 125.49
Sites, in units of the cell vectors:
Nd (0.004, 0.664, 0.682)
Nd (0.182, 0.182, 0.827)
Nd (0.336, 0.996, 0.318)
Nd (0.664, 0.004, 0.682)
Nd (0.818, 0.818, 0.173)
Nd (0.996, 0.336, 0.318)
Sm (0.345, 0.655, 0.000)
Sm (0.655, 0.345, 0.000)
Sc (0.500, 0.500, 0.500)

Values from the calculation:
Its space group is No. 12. The energy above the lowest structure with this stoichiometry is 0 meV per atom.



No. 3
A plane-wave DFT calculation with PBE was carried out for a geometry-optimized Nd4Sm2Sc3 structure.

Lattice parameters (Å, degrees): 6.096 6.096 10.543 106.48 106.48 48.64
Sites, in units of the cell vectors:
Nd (0.006, 0.006, 0.337)
Nd (0.334, 0.334, 0.113)
Nd (0.666, 0.666, 0.887)
Nd (0.994, 0.994, 0.663)
Sm (0.331, 0.331, 0.772)
Sm (0.669, 0.669, 0.228)
Sc (0.000, 0.000, 0.000)
Sc (0.336, 0.336, 0.449)
Sc (0.664, 0.664, 0.551)

Values from the calculation:
Its space group is No. 12.



No. 4
A plane-wave DFT calculation with PBE was carried out for a geometry-optimized Nd3Sm4Sc2 structure.

Lattice parameters (Å, degrees): 3.572 3.572 26.449 90.00 90.00 120.00
Sites, in units of the cell vectors:
Nd (0.000, 0.000, 0.000)
Nd (0.000, 0.000, 0.334)
Nd (0.667, 0.333, 0.677)
Sm (0.000, 0.000, 0.562)
Sm (0.000, 0.000, 0.793)
Sm (0.667, 0.333, 0.224)
Sm (0.667, 0.333, 0.451)
Sc (0.667, 0.333, 0.102)
Sc (0.667, 0.333, 0.894)

Values from the calculation:
Its space group is No. 156. The energy above the lowest structure with this stoichiometry is 64 meV per atom.



No. 5
A plane-wave DFT calculation with PBE was carried out for a geometry-optimized NdSm3Sc3 structure.

Lattice parameters (Å, degrees): 8.605 8.605 8.605 58.58 58.58 58.58
Sites, in units of the cell vectors:
Nd (0.154, 0.154, 0.154)
Nd (0.846, 0.846, 0.846)
Sm (0.068, 0.570, 0.218)
Sm (0.218, 0.068, 0.570)
Sm (0.430, 0.782, 0.932)
Sm (0.570, 0.218, 0.068)
Sm (0.782, 0.932, 0.430)
Sm (0.932, 0.430, 0.782)
Sc (0.225, 0.667, 0.439)
Sc (0.333, 0.561, 0.775)
Sc (0.439, 0.225, 0.667)
Sc (0.561, 0.775, 0.333)
Sc (0.667, 0.439, 0.225)
Sc (0.775, 0.333, 0.561)

Values from the calculation:
Its space group is No. 148. The energy above the lowest structure with this stoichiometry is 0 meV per atom.



No. 6
A plane-wave DFT calculation with PBE was carried out for a geometry-optimized Nd7Sm12Sc structure.

Lattice parameters (Å, degrees): 8.840 8.840 8.840 92.55 92.55 92.55
Sites, in units of the cell vectors:
Nd (0.000, 0.000, 0.000)
Nd (0.135, 0.384, 0.451)
Nd (0.384, 0.451, 0.135)
Nd (0.451, 0.135, 0.384)
Nd (0.549, 0.865, 0.616)
Nd (0.616, 0.549, 0.865)
Nd (0.865, 0.616, 0.549)
Sm (0.048, 0.340, 0.948)
Sm (0.052, 0.952, 0.660)
Sm (0.210, 0.759, 0.358)
Sm (0.241, 0.642, 0.790)
Sm (0.340, 0.948, 0.048)
Sm (0.358, 0.210, 0.759)
Sm (0.642, 0.790, 0.241)
Sm (0.660, 0.052, 0.952)
Sm (0.759, 0.358, 0.210)
Sm (0.790, 0.241, 0.642)
Sm (0.948, 0.048, 0.340)
Sm (0.952, 0.660, 0.052)
Sc (0.500, 0.500, 0.500)

Values from the calculation:
Its space group is No. 148. The energy above the lowest structure with this stoichiometry is 0 meV per atom.



No. 7
A plane-wave DFT calculation with PBE was carried out for a geometry-optimized Nd10Sm4Sc structure.

Lattice parameters (Å, degrees): 8.787 8.787 8.787 110.99 110.99 106.48
Sites, in units of the cell vectors:
Nd (0.045, 0.953, 0.322)
Nd (0.047, 0.369, 0.092)
Nd (0.250, 0.750, 0.500)
Nd (0.277, 0.955, 0.908)
Nd (0.369, 0.277, 0.322)
Nd (0.631, 0.723, 0.678)
Nd (0.723, 0.045, 0.092)
Nd (0.750, 0.250, 0.500)
Nd (0.953, 0.631, 0.908)
Nd (0.955, 0.047, 0.678)
Sm (0.179, 0.445, 0.624)
Sm (0.445, 0.821, 0.266)
Sm (0.555, 0.179, 0.734)
Sm (0.821, 0.555, 0.376)
Sc (0.500, 0.500, 0.000)

Values from the calculation:
Its space group is No. 87.



No. 8
A plane-wave DFT calculation with PBE was carried out for a geometry-optimized Nd7Sm2Sc structure.

Lattice parameters (Å, degrees): 14.982 14.982 3.466 90.00 90.00 154.01
Sites, in units of the cell vectors:
Nd (0.000, 0.000, 0.000)
Nd (0.164, 0.357, 0.000)
Nd (0.310, 0.690, 0.500)
Nd (0.357, 0.164, 0.000)
Nd (0.643, 0.836, 0.000)
Nd (0.690, 0.310, 0.500)
Nd (0.836, 0.643, 0.000)
Sm (0.203, 0.797, 0.000)
Sm (0.797, 0.203, 0.000)
Sc (0.500, 0.500, 0.500)

Values from the calculation:
Its space group is No. 65.



Number 1: DFT formation energy 0.046 eV per atom. Number 2: DFT formation energy 0.097 eV per atom. Number 3: DFT formation energy 0.052 eV per atom. Number 4: DFT formation energy 0.106 eV per atom. Number 5: DFT formation energy 0.182 eV per atom. Number 6: DFT formation energy 0.235 eV per atom. Number 7: DFT formation energy 0.327 eV per atom. Number 8: DFT formation energy 0.172 eV per atom.